Entry 1:
20
Lattice="6.020 0.000 0.000 -3.010 5.214 0.000 0.000 0.000 11.245" Properties=species:S:1:pos:R:3 comment="Cr2S3 PBE relaxed" e_tot_ev_per_atom=-7.0146 mass_density_g_cm3=3.8 m_tot_mub_per_cell=24.00 formation_energy_uncorrected_mev_per_atom=-689 space_group=P-31c pbc="T T T"
Cr 0.000 0.000 0.000
Cr 0.000 0.000 5.622
Cr 0.000 3.476 0.196
Cr 0.000 3.476 5.427
Cr 0.000 3.476 8.434
Cr 3.010 1.738 2.811
Cr 3.010 1.738 5.818
Cr 3.010 1.738 11.049
S -0.913 1.803 9.932
S -1.906 3.521 6.935
S 0.913 1.803 6.935
S -0.992 5.103 9.932
S 2.018 0.110 4.310
S 1.105 1.692 1.313
S 1.906 3.521 9.932
S 0.992 5.103 6.935
S 4.002 0.110 1.313
S 2.097 3.411 4.310
S 4.916 1.692 4.310
S 3.924 3.411 1.313

---

Entry 2:
4
Lattice="4.395 0.000 0.000 0.000 4.505 0.000 0.000 0.000 5.302" Properties=species:S:1:pos:R:3 comment="ZnCdPb2 PBE relaxed" e_form_ev_per_atom=0.13 e_tot_ev_per_atom=-2.2685 mass_density_g_cm3=9.4 m_tot_mub_per_cell=0.00 space_group=Pmmm pbc="T T T"
Zn 0.000 0.000 0.000
Cd 0.000 2.252 2.651
Pb 2.198 0.000 2.651
Pb 2.198 2.252 0.000

---

Entry 3:
4
Lattice="0.000 3.202 3.202 3.202 0.000 3.202 3.202 3.202 0.000" Properties=species:S:1:pos:R:3 comment="AlTlRu2 PBE relaxed" e_form_ev_per_atom=0.46 e_tot_ev_per_atom=-5.7079 mass_density_g_cm3=11.0 m_tot_mub_per_cell=1.95 space_group=F-43m pbc="T T T"
Al 0.000 0.000 0.000
Tl 4.803 4.803 4.803
Ru 1.601 1.601 1.601
Ru 3.202 3.202 3.202

---

Entry 4:
4
Lattice="0.000 3.436 3.436 3.436 0.000 3.436 3.436 3.436 0.000" Properties=species:S:1:pos:R:3 comment="CePuTcIr PBE relaxed" e_form_ev_per_atom=-0.23 e_tot_ev_per_atom=-10.1071 mass_density_g_cm3=13.8 m_tot_mub_per_cell=4.61 space_group=F-43m pbc="T T T"
Ce 0.000 0.000 0.000
Pu 3.436 3.436 3.436
Tc 1.718 1.718 1.718
Ir 5.154 5.154 5.154

---

Entry 5:
4
Lattice="3.553 0.000 0.000 0.000 3.519 0.000 -0.044 0.000 7.333" Properties=species:S:1:pos:R:3 comment="Ca2NiAg PBE relaxed" e_form_ev_per_atom=-0.15 e_tot_ev_per_atom=-3.3104 mass_density_g_cm3=4.5 m_tot_mub_per_cell=0.00 space_group=P2/m pbc="T T T"
Ca -0.010 0.000 2.006
Ca 3.519 0.000 5.327
Ni 1.755 1.760 3.667
Ag 1.777 1.760 0.000

---

Entry 6:
8
Lattice="-3.348 3.348 4.133 3.348 -3.348 4.133 3.348 3.348 -4.133" Properties=species:S:1:pos:R:3 comment="BaNdCu2S4 PBE relaxed" e_tot_ev_per_atom=-5.0576 mass_density_g_cm3=4.8 m_tot_mub_per_cell=0.00 formation_energy_uncorrected_mev_per_atom=-1134 space_group=I-42m pbc="T T T"
Ba 0.000 0.000 0.000
Nd 0.000 0.000 4.133
Cu 3.348 0.000 2.067
Cu 0.000 3.348 2.067
S 1.843 1.843 -1.790
S 1.506 -1.506 5.924
S 1.506 1.506 2.343
S -1.506 1.506 5.924

---

Entry 7:
4
Lattice="5.246 -1.545 0.000 5.246 1.545 0.000 -1.212 0.000 4.997" Properties=species:S:1:pos:R:3 comment="LaOsW2 PBE relaxed" e_form_ev_per_atom=0.55 e_tot_ev_per_atom=-9.9649 mass_density_g_cm3=14.3 m_tot_mub_per_cell=0.00 space_group=C2/m pbc="T T T"
La 0.000 0.000 0.000
Os 4.640 0.000 2.499
W 1.444 0.000 3.333
W 7.835 0.000 1.664

---

Entry 8:
16
Lattice="5.914 -3.107 0.000 5.914 3.107 0.000 -2.941 0.000 5.391" Properties=species:S:1:pos:R:3 comment="Na4ZnPt3O8 PBE relaxed" e_tot_ev_per_atom=-5.0746 mass_density_g_cm3=7.3 m_tot_mub_per_cell=0.00 formation_energy_uncorrected_mev_per_atom=-1053 space_group=C2/m pbc="T T T"
Na 0.000 0.000 0.000
Na 1.487 1.554 2.695
Na 1.487 -1.554 2.695
Na 5.914 0.000 0.000
Zn -1.470 0.000 2.695
Pt 2.957 1.554 0.000
Pt 2.957 -1.554 0.000
Pt 4.444 0.000 2.695
O 4.563 1.522 1.336
O 2.005 0.000 0.966
O 0.767 0.000 4.264
O 4.324 1.522 4.055
O 4.563 -1.522 1.336
O 8.121 0.000 1.127
O 6.882 0.000 4.425
O 4.324 -1.522 4.055

---

Entry 9:
5
Lattice="4.913 0.000 0.000 0.000 4.913 0.000 0.000 0.000 4.913" Properties=species:S:1:pos:R:3 comment="Hf3MoPt PBE relaxed" e_form_ev_per_atom=0.78 e_tot_ev_per_atom=-8.5687 mass_density_g_cm3=11.6 m_tot_mub_per_cell=0.00 space_group=Pm-3m pbc="T T T"
Hf 0.000 0.000 2.457
Hf 0.000 2.457 0.000
Hf 2.457 0.000 0.000
Mo 0.000 0.000 0.000
Pt 2.457 2.457 2.457

---

Entry 10:
12
Lattice="4.751 0.000 0.000 -2.375 4.114 0.000 0.000 0.000 12.407" Properties=species:S:1:pos:R:3 comment="YMg2Au3 PBE relaxed" e_form_ev_per_atom=-0.71 e_tot_ev_per_atom=-3.9559 mass_density_g_cm3=10.0 m_tot_mub_per_cell=0.00 space_group=P-3m1 pbc="T T T"
Y 0.000 2.743 2.160
Y 2.375 1.371 10.247
Mg 0.000 0.000 0.000
Mg 0.000 0.000 6.204
Mg 0.000 2.743 8.128
Mg 2.375 1.371 4.279
Au 0.000 0.000 3.432
Au 0.000 0.000 8.975
Au 0.000 2.743 5.232
Au 0.000 2.743 11.557
Au 2.375 1.371 0.850
Au 2.375 1.371 7.175

---

Entry 11:
10
Lattice="2.130 -5.929 0.000 2.130 5.929 0.000 0.000 0.000 7.233" Properties=species:S:1:pos:R:3 comment="AcAl2HPt PBE relaxed" e_tot_ev_per_atom=-4.9642 mass_density_g_cm3=8.7 m_tot_mub_per_cell=0.00 space_group=Cmcm pbc="T T T"
Ac 2.130 5.305 5.425
Ac 2.130 -5.305 1.808
Al 2.130 2.134 4.054
Al 2.130 2.134 6.795
Al 2.130 -2.134 0.438
Al 2.130 -2.134 3.178
H 2.130 0.000 0.000
H 2.130 0.000 3.616
Pt 2.130 3.341 1.808
Pt 2.130 -3.341 5.425

---

Entry 12:
8
Lattice="3.332 0.000 0.000 0.000 4.511 0.000 0.000 0.000 12.083" Properties=species:S:1:pos:R:3 comment="Pa4ZnAu3 PBE relaxed" e_form_ev_per_atom=-0.15 e_tot_ev_per_atom=-6.2890 mass_density_g_cm3=14.4 m_tot_mub_per_cell=2.58 space_group=Pmm2 pbc="T T T"
Pa 0.000 0.000 0.000
Pa 0.000 2.256 4.006
Pa 1.666 0.000 5.945
Pa 1.666 2.256 10.041
Zn 1.666 0.000 2.784
Au 0.000 0.000 8.871
Au 0.000 2.256 7.173
Au 1.666 2.256 1.267

---

Entry 13:
16
Lattice="3.971 2.293 6.598 -3.971 2.293 6.598 0.000 -4.585 6.598" Properties=species:S:1:pos:R:3 comment="Ho8NiSe4S3 PBE relaxed" e_tot_ev_per_atom=-5.9784 mass_density_g_cm3=8.2 m_tot_mub_per_cell=0.00 formation_energy_uncorrected_mev_per_atom=-1683 space_group=R-3m pbc="T T T"
Ho 0.000 0.000 4.816
Ho -1.910 -1.103 11.390
Ho 0.000 -2.205 8.406
Ho -1.910 1.103 8.406
Ho 1.910 -1.103 11.390
Ho 0.000 2.205 11.390
Ho 1.910 1.103 8.406
Ho 0.000 0.000 14.979
Ni 0.000 0.000 9.898
Se 0.000 0.000 0.000
Se -1.986 -1.146 6.598
Se -1.986 1.146 13.197
Se 0.000 2.293 6.598
S -3.971 0.000 9.898
S -1.986 1.146 3.299
S 1.986 1.146 3.299

---

Entry 14:
4
Lattice="0.000 4.003 4.003 4.003 0.000 4.003 4.003 4.003 0.000" Properties=species:S:1:pos:R:3 comment="PmDyEr2 PBE relaxed" e_form_ev_per_atom=0.13 e_tot_ev_per_atom=-4.4934 mass_density_g_cm3=8.3 m_tot_mub_per_cell=0.00 space_group=Fm-3m pbc="T T T"
Pm 0.000 0.000 0.000
Dy 4.003 4.003 4.003
Er 2.002 2.002 2.002
Er 6.005 6.005 6.005

---

Entry 15:
12
Lattice="6.072 0.000 0.000 -3.036 5.258 0.000 0.000 0.000 7.001" Properties=species:S:1:pos:R:3 comment="Ba3PuCu2O6 PBE relaxed" e_tot_ev_per_atom=-6.8610 mass_density_g_cm3=6.5 m_tot_mub_per_cell=3.37 formation_energy_uncorrected_mev_per_atom=-2024 space_group=P-3m1 pbc="T T T"
Ba 0.000 0.000 0.000
Ba 0.000 3.505 4.553
Ba 3.036 1.753 2.447
Pu 0.000 0.000 3.500
Cu 0.000 3.505 1.313
Cu 3.036 1.753 5.688
O 0.000 1.731 2.225
O -1.536 4.393 2.225
O 1.499 0.866 4.776
O 1.536 4.393 2.225
O 4.572 0.866 4.776
O 3.036 3.527 4.776

---

Entry 16:
5
Lattice="5.417 0.000 0.000 0.000 5.417 0.000 0.000 0.000 5.930" Properties=species:S:1:pos:R:3 comment="RbZrAu2Se PBE relaxed" e_tot_ev_per_atom=-2.2550 mass_density_g_cm3=6.2 m_tot_mub_per_cell=1.79 formation_energy_uncorrected_mev_per_atom=1656 space_group=P4/mmm pbc="T T T"
Rb 0.000 0.000 0.000
Zr 0.000 0.000 2.965
Au 0.000 2.709 0.000
Au 2.709 0.000 0.000
Se 2.709 2.709 2.965

---

Entry 17:
5
Lattice="4.937 0.000 0.000 0.000 4.937 0.000 0.000 0.000 4.885" Properties=species:S:1:pos:R:3 comment="TlPSeS2 PBE relaxed" e_tot_ev_per_atom=-3.3455 mass_density_g_cm3=5.3 m_tot_mub_per_cell=0.58 formation_energy_uncorrected_mev_per_atom=558 space_group=P4/mmm pbc="T T T"
Tl 0.000 0.000 0.000
P 2.468 2.468 0.000
Se 2.468 2.468 2.442
S 0.000 2.468 2.442
S 2.468 0.000 2.442

---

Entry 18:
4
Lattice="4.681 0.000 0.000 0.000 4.762 0.000 0.000 0.000 5.404" Properties=species:S:1:pos:R:3 comment="Ca2YMn PBE relaxed" e_form_ev_per_atom=0.38 e_tot_ev_per_atom=-4.5296 mass_density_g_cm3=3.1 m_tot_mub_per_cell=3.62 space_group=Pmmm pbc="T T T"
Ca 0.000 0.000 0.000
Ca 2.341 2.381 0.000
Y 0.000 2.381 2.702
Mn 2.341 0.000 2.702

---

Entry 19:
12
Lattice="2.906 -5.750 0.000 2.906 5.750 0.000 0.000 0.000 11.634" Properties=species:S:1:pos:R:3 comment="LaSmDyTm3 PBE relaxed" e_form_ev_per_atom=0.11 e_tot_ev_per_atom=-4.4994 mass_density_g_cm3=8.2 m_tot_mub_per_cell=0.00 space_group=Cmcm pbc="T T T"
La 2.906 5.699 8.725
La 2.906 -5.699 2.908
Sm 2.906 0.000 0.000
Sm 2.906 0.000 5.817
Dy 2.906 2.020 8.725
Dy 2.906 -2.020 2.908
Tm 2.906 3.735 0.047
Tm 2.906 3.735 5.770
Tm 2.906 1.953 2.908
Tm 2.906 -1.953 8.725
Tm 2.906 -3.735 5.864
Tm 2.906 -3.735 11.587

---

Entry 20:
4
Lattice="4.117 -2.203 0.000 4.117 2.203 0.000 -2.589 0.000 6.750" Properties=species:S:1:pos:R:3 comment="Tl2TePt PBE relaxed" e_tot_ev_per_atom=-3.6704 mass_density_g_cm3=9.9 m_tot_mub_per_cell=0.00 formation_energy_uncorrected_mev_per_atom=-192 space_group=Cm pbc="T T T"
Tl 0.000 0.000 0.000
Tl 0.018 0.000 4.196
Te 2.644 0.000 2.122
Pt 5.275 0.000 2.040

---

Entry 21:
5
Lattice="5.050 0.000 0.000 0.000 5.050 0.000 0.000 0.000 5.050" Properties=species:S:1:pos:R:3 comment="EuNiHg3 PBE relaxed" e_form_ev_per_atom=-0.18 e_tot_ev_per_atom=-3.5715 mass_density_g_cm3=10.5 m_tot_mub_per_cell=7.29 space_group=Pm-3m pbc="T T T"
Eu 0.000 0.000 0.000
Ni 2.525 2.525 2.525
Hg 0.000 2.525 2.525
Hg 2.525 0.000 2.525
Hg 2.525 2.525 0.000

---

Entry 22:
4
Lattice="1.856 -3.569 0.000 1.856 3.569 0.000 0.000 0.000 10.833" Properties=species:S:1:pos:R:3 comment="MnZnBr2 PBE relaxed" e_tot_ev_per_atom=-3.6512 mass_density_g_cm3=3.2 m_tot_mub_per_cell=4.97 formation_energy_uncorrected_mev_per_atom=-204 space_group=Cmmm pbc="T T T"
Mn 0.000 0.000 0.000
Zn 0.000 0.000 5.417
Br 1.856 0.000 1.777
Br 1.856 0.000 9.057

---

Entry 23:
4
Lattice="-1.991 2.990 4.464 1.991 -2.990 4.464 1.991 2.990 -4.464" Properties=species:S:1:pos:R:3 comment="Y2CrBr PBE relaxed" e_tot_ev_per_atom=-6.0112 mass_density_g_cm3=4.8 m_tot_mub_per_cell=4.22 formation_energy_uncorrected_mev_per_atom=45 space_group=Immm pbc="T T T"
Y 0.000 0.000 2.175
Y 0.000 0.000 6.754
Cr 0.000 2.990 0.000
Br 1.991 0.000 0.000

---

Entry 24:
5
Lattice="4.599 0.000 0.000 0.000 4.599 0.000 0.000 0.000 5.189" Properties=species:S:1:pos:R:3 comment="CsLiSiRh2 PBE relaxed" e_tot_ev_per_atom=-4.4694 mass_density_g_cm3=5.7 m_tot_mub_per_cell=0.00 formation_energy_uncorrected_mev_per_atom=109 space_group=P4/mmm pbc="T T T"
Cs 0.000 0.000 0.000
Li 2.299 2.299 0.000
Si 2.299 2.299 2.594
Rh 0.000 2.299 2.594
Rh 2.299 0.000 2.594

---

Entry 25:
8
Lattice="7.222 0.000 0.000 0.000 4.107 0.000 -2.329 0.000 7.111" Properties=species:S:1:pos:R:3 comment="Pm4TeAuS2 PBE relaxed" e_tot_ev_per_atom=-5.7445 mass_density_g_cm3=7.6 m_tot_mub_per_cell=0.00 formation_energy_uncorrected_mev_per_atom=-1535 space_group=P2/m pbc="T T T"
Pm 1.172 0.000 1.544
Pm 0.024 2.053 5.495
Pm 4.869 2.053 1.617
Pm 3.721 0.000 5.567
Te 2.447 2.053 3.556
Au -1.164 0.000 3.556
S 0.000 2.053 0.000
S 3.611 0.000 0.000